# GaSbRh2

An optimized crystal structure of GaSbRh2 (PBE-GGA, Alexandria).

Calculated values
Relative energy among the computed polymorphs, eV per atom: 0.3873
SG: No. 122
Magnetization, μB/atom: 0.00

a = 5.6992 Å, b = 5.6992 Å, c = 7.0097 Å
α = 66.01°, β = 66.01°, γ = 90.00°
Fractional positions:
Sb  0.0000  0.0000  0.0000
Sb  0.7500  0.2500  0.5000
Rh  0.6053  0.1250  0.2500
Rh  0.1447  0.6250  0.2500
Rh  0.3750  0.3947  0.7500
Rh  0.8750  0.8553  0.7500
Ga  0.5000  0.5000  0.0000
Ga  0.2500  0.7500  0.5000